# 1
Below is an optimized crystal structure of ZrTl2Pb, with properties calculated at the GGA-PBE level.

Structure (POSCAR):
```
ZrTl2Pb
1.0
6.524 0.037 -0.001
3.310 5.622 0.001
-4.213 -4.052 2.896
Pb Tl Zr
1 2 1
Cartesian
2.007 2.199 1.448 Pb
9.696 5.580 0.000 Tl
5.055 2.909 0.000 Tl
3.614 -0.593 1.448 Zr
```

Computed properties:
Density in g/cm3: 11.09
Energy of formation from the pure elements in eV per formula unit: 0.4
E in eV per atom: -4.157

=====

# 2
Below is an optimized crystal structure of YIn3, with properties calculated at the GGA-PBE level.

Structure (POSCAR):
```
YIn3
1.0
6.089 0.000 0.000
0.000 6.089 0.000
0.000 0.000 6.089
In Y
3 1
Cartesian
3.045 0.000 0.000 In
0.000 3.045 0.000 In
0.000 0.000 3.045 In
0.000 0.000 0.000 Y
```

Computed properties:
Density in g/cm3: 3.19
Energy of formation from the pure elements in eV per formula unit: 2.9
E in eV per atom: -2.937

=====

# 3
Below is an optimized crystal structure of Ti3VPb, with properties calculated at the GGA-PBE level.

Structure (POSCAR):
```
Ti3VPb
1.0
3.437 0.000 0.000
-1.719 5.365 0.220
0.000 -0.310 9.786
Ti V Pb
6 2 2
Cartesian
0.000 0.290 3.640 Ti
1.719 4.764 6.366 Ti
0.000 4.537 1.889 Ti
1.719 0.518 8.117 Ti
0.000 2.422 7.105 Ti
1.719 2.632 2.900 Ti
1.719 1.418 5.413 V
0.000 3.637 4.593 V
1.719 3.604 9.223 Pb
0.000 1.451 0.783 Pb
```

Computed properties:
Density in g/cm3: 7.38
Energy of formation from the pure elements in eV per formula unit: 0.3
E in eV per atom: -7.251

=====

# 4
Below is an optimized crystal structure of KDy4Hg5, with properties calculated at the GGA-PBE level.

Structure (POSCAR):
```
KDy4Hg5
1.0
3.742 0.000 0.000
0.000 3.742 0.000
0.000 0.000 19.594
K Dy Hg
1 4 5
Cartesian
0.000 0.000 0.000 K
0.000 0.000 4.231 Dy
0.000 0.000 7.953 Dy
0.000 0.000 11.642 Dy
0.000 0.000 15.363 Dy
1.871 1.871 2.550 Hg
1.871 1.871 6.110 Hg
1.871 1.871 9.797 Hg
1.871 1.871 13.485 Hg
1.871 1.871 17.044 Hg
```

Computed properties:
Density in g/cm3: 10.24
Energy of formation from the pure elements in eV per formula unit: -4.1
E in eV per atom: -2.516